Below is a relaxed structure of Ac2ZnCl, with properties calculated at the PBE-GGA level.

a b c (Å): 4.5597 4.5597 21.5195
angles (deg): 90.00 90.00 120.00
Last column: nearest neighbours and their distance in Å.
Fractional positions:
Ac 0.0000 0.0000 0.2501  3 Zn 3.18, 3 Cl 3.19
Ac 0.0000 0.0000 0.7499  3 Zn 3.18, 3 Cl 3.19
Ac 0.3333 0.6667 0.4166  3 Zn 3.18, 3 Cl 3.19
Ac 0.3333 0.6667 0.9168  3 Zn 3.18, 3 Cl 3.19
Ac 0.6667 0.3333 0.0832  3 Zn 3.18, 3 Cl 3.19
Ac 0.6667 0.3333 0.5834  3 Zn 3.18, 3 Cl 3.19
Zn 0.0000 0.0000 0.0000  6 Ac 3.18
Zn 0.3333 0.6667 0.6667  6 Ac 3.18
Zn 0.6667 0.3333 0.3333  6 Ac 3.18
Cl 0.0000 0.0000 0.5000  6 Ac 3.19
Cl 0.3333 0.6667 0.1667  6 Ac 3.19
Cl 0.6667 0.3333 0.8333  6 Ac 3.19

Calculated values
* crystal system: trigonal
* magnetic moment: 0.0000 μB per atom
* energy above the lowest structure with this stoichiometry: 0 meV/atom
* N(E_F): 3.7 states/eV/f.u.

=====

Below is a relaxed structure of CsBHO2, with properties calculated at the PBE-GGA level.

a b c (Å): 3.9445 3.9445 4.4513
angles (deg): 90.00 90.00 90.00
Last column: nearest neighbours and their distance in Å.
Fractional positions:
Cs 0.0000 0.0000 0.0000  2 H 2.23
B 0.5000 0.5000 0.0000  4 Cs 2.79, 8 O 2.97
H 0.0000 0.0000 0.5000  4 O 1.97
O 0.0000 0.5000 0.5000  2 H 1.97
O 0.5000 0.0000 0.5000  2 H 1.97

Calculated values
* crystal system: tetragonal
* magnetic moment: 0.2011 μB per atom
* energy: -13.459 eV per formula unit
* N(E_F): 1.3 states/eV/f.u.

=====

Below is a relaxed structure of AlCd2Pb, with properties calculated at the PBE-GGA level.

a b c (Å): 4.3033 4.3033 21.9169
angles (deg): 90.00 90.00 90.00
Last column: nearest neighbours and their distance in Å.
Fractional positions:
Al 0.0000 0.0000 0.0000  4 Pb 3.04, 4 Cd 3.11
Al 0.0000 0.5000 0.2500  4 Pb 3.04, 4 Cd 3.11
Al 0.5000 0.0000 0.7500  4 Pb 3.04, 4 Cd 3.11
Al 0.5000 0.5000 0.5000  4 Pb 3.04, 4 Cd 3.11
Cd 0.2361 0.2500 0.1250  4 Cd 2.96-3.13, 2 Al 3.11, 2 Pb 3.15
Cd 0.2500 0.7361 0.3750  4 Cd 2.96-3.13, 2 Al 3.11, 2 Pb 3.15
Cd 0.2500 0.7639 0.8750  4 Cd 2.96-3.13, 2 Al 3.11, 2 Pb 3.15
Cd 0.2639 0.2500 0.6250  4 Cd 2.96-3.13, 2 Al 3.11, 2 Pb 3.15
Cd 0.7361 0.7500 0.6250  4 Cd 2.96-3.13, 2 Al 3.11, 2 Pb 3.15
Cd 0.7500 0.2361 0.8750  4 Cd 2.96-3.13, 2 Al 3.11, 2 Pb 3.15
Cd 0.7500 0.2639 0.3750  4 Cd 2.96-3.13, 2 Al 3.11, 2 Pb 3.15
Cd 0.7639 0.7500 0.1250  4 Cd 2.96-3.13, 2 Al 3.11, 2 Pb 3.15
Pb 0.0000 0.0000 0.5000  4 Al 3.04, 4 Cd 3.15
Pb 0.0000 0.5000 0.7500  4 Al 3.04, 4 Cd 3.15
Pb 0.5000 0.0000 0.2500  4 Al 3.04, 4 Cd 3.15
Pb 0.5000 0.5000 0.0000  4 Al 3.04, 4 Cd 3.15

Calculated values
* crystal system: tetragonal
* magnetic moment: 0.0000 μB per atom
* energy above the lowest structure with this stoichiometry: 93 meV/atom
* N(E_F): 2.4 states/eV/f.u.
* formation energy from the elements: 0.204 eV/atom

=====

Below is a relaxed structure of B2C, with properties calculated at the PBE-GGA level.

a b c (Å): 7.3540 7.3540 4.1602
angles (deg): 99.90 99.90 20.79
Last column: nearest neighbours and their distance in Å.
Fractional positions:
B 0.0000 0.0000 0.0000  1 C 1.69, 4 B 1.70-1.87
B 0.0015 0.0015 0.4500  1 C 1.67, 4 B 1.82-1.87
B 0.1069 0.1069 0.2487  2 C 1.59, 1 B 1.70
B 0.3108 0.3108 0.0434  3 B 1.70-1.73, 1 C 1.79
B 0.4145 0.4145 0.3968  1 C 1.68, 2 B 1.82
B 0.4197 0.4197 0.9436  1 C 1.66, 3 B 1.70-1.75
B 0.7346 0.7346 0.0544  1 C 1.62, 2 B 1.73
B 0.7794 0.7794 0.5001  3 C 1.57-1.68
C 0.0868 0.0868 0.7771  2 C 1.60, 2 B 1.67-1.69
C 0.3310 0.3310 0.6313  4 B 1.57-1.68
C 0.6465 0.6465 0.7551  3 C 1.60-1.65, 1 B 1.62
C 0.6627 0.6627 0.3716  3 B 1.59-1.68, 1 C 1.65

Calculated values
* crystal system: monoclinic
* magnetic moment: 0.0000 μB per atom
* energy above the lowest structure with this stoichiometry: 214 meV/atom
* N(E_F): 0.1 states/eV/f.u.
* formation energy from the elements: 0.400 eV/atom

=====

Below is a relaxed structure of In2Si2Bi, with properties calculated at the PBE-GGA level.

a b c (Å): 3.5189 3.5189 19.4976
angles (deg): 90.00 90.00 90.00
Last column: nearest neighbours and their distance in Å.
Fractional positions:
In 0.0000 0.0000 0.1212  4 Si 3.07, 4 Bi 3.43
In 0.0000 0.0000 0.8788  4 Si 3.07, 4 Bi 3.43
In 0.5000 0.5000 0.3788  4 Si 3.07, 4 Bi 3.43
In 0.5000 0.5000 0.6212  4 Si 3.07, 4 Bi 3.43
Si 0.0000 0.5000 0.2500  4 Si 2.49
Si 0.0000 0.5000 0.7500  4 Si 2.49
Si 0.5000 0.0000 0.2500  4 Si 2.49
Si 0.5000 0.0000 0.7500  4 Si 2.49
Bi 0.0000 0.0000 0.5000  8 In 3.43, 4 Bi 3.52
Bi 0.5000 0.5000 0.0000  8 In 3.43, 4 Bi 3.52

Calculated values
* crystal system: tetragonal
* magnetic moment: 0.0000 μB per atom
* energy above the lowest structure with this stoichiometry: 0 meV/atom
* N(E_F): 2.6 states/eV/f.u.

=====

Below is a relaxed structure of LiMgB2, with properties calculated at the PBE-GGA level.

a b c (Å): 6.4868 6.4868 4.2023
angles (deg): 90.00 90.00 90.00
Last column: nearest neighbours and their distance in Å.
Fractional positions:
Li 0.0000 0.0000 0.0000  2 Mg 2.10, 4 B 2.30
Li 0.0000 0.5000 0.2500  2 Mg 2.10, 4 B 2.30
Li 0.5000 0.0000 0.7500  2 Mg 2.10, 4 B 2.30
Li 0.5000 0.5000 0.5000  2 Mg 2.10, 4 B 2.30
Mg 0.0000 0.0000 0.5000  2 Li 2.10
Mg 0.0000 0.5000 0.7500  2 Li 2.10
Mg 0.5000 0.0000 0.2500  2 Li 2.10
Mg 0.5000 0.5000 0.0000  2 Li 2.10
B 0.2376 0.2500 0.1250  2 B 2.11, 2 Li 2.30
B 0.2500 0.7376 0.3750  2 B 2.11, 2 Li 2.30
B 0.2500 0.7624 0.8750  2 B 2.11, 2 Li 2.30
B 0.2624 0.2500 0.6250  2 B 2.11, 2 Li 2.30
B 0.7376 0.7500 0.6250  2 B 2.11, 2 Li 2.30
B 0.7500 0.2376 0.8750  2 B 2.11, 2 Li 2.30
B 0.7500 0.2624 0.3750  2 B 2.11, 2 Li 2.30
B 0.7624 0.7500 0.1250  2 B 2.11, 2 Li 2.30

Calculated values
* crystal system: tetragonal
* magnetic moment: 0.0000 μB per atom
* N(E_F): 1.4 states/eV/f.u.
* formation energy from the elements: 1.153 eV/atom

=====

Below is a relaxed structure of RbSrAg, with properties calculated at the PBE-GGA level.

a b c (Å): 4.5302 4.5302 33.5843
angles (deg): 90.00 90.00 120.00
Last column: nearest neighbours and their distance in Å.
Fractional positions:
Rb 0.3333 0.6667 0.2899  3 Ag 3.56
Rb 0.3333 0.6667 0.4329  3 Ag 3.54
Rb 0.6667 0.3333 0.5671  3 Ag 3.54
Rb 0.6667 0.3333 0.7101  3 Ag 3.56
Sr 0.3333 0.6667 0.8292  3 Ag 3.28
Sr 0.3333 0.6667 0.9483  3 Ag 3.30
Sr 0.6667 0.3333 0.0517  3 Ag 3.30
Sr 0.6667 0.3333 0.1708  3 Ag 3.28
Ag 0.3333 0.6667 0.1116  6 Sr 3.28-3.30
Ag 0.3333 0.6667 0.6383  6 Rb 3.54-3.56
Ag 0.6667 0.3333 0.3617  6 Rb 3.54-3.56
Ag 0.6667 0.3333 0.8884  6 Sr 3.28-3.30

Calculated values
* crystal system: trigonal
* magnetic moment: 0.0000 μB per atom
* energy above the lowest structure with this stoichiometry: 48 meV/atom
* N(E_F): 1.3 states/eV/f.u.
* formation energy from the elements: 0.025 eV/atom

=====

Below is a relaxed structure of BeSn3Pt, with properties calculated at the PBE-GGA level.

a b c (Å): 5.2294 5.2294 5.2294
angles (deg): 90.00 90.00 90.00
Last column: nearest neighbours and their distance in Å.
Fractional positions:
Be 0.0000 0.0000 0.0000  12 Sn 3.70
Sn 0.0000 0.5000 0.5000  2 Pt 2.61
Sn 0.5000 0.0000 0.5000  2 Pt 2.61
Sn 0.5000 0.5000 0.0000  2 Pt 2.61
Pt 0.5000 0.5000 0.5000  6 Sn 2.61

Calculated values
* crystal system: cubic
* magnetic moment: 0.0000 μB per atom
* energy above the lowest structure with this stoichiometry: 175 meV/atom
* N(E_F): 3.1 states/eV/f.u.
* formation energy from the elements: 0.589 eV/atom

=====

Below is a relaxed structure of LiCa2CeO4, with properties calculated at the PBE-GGA level.

a b c (Å): 5.7603 3.4781 5.8922
angles (deg): 90.00 107.41 90.00
Last column: nearest neighbours and their distance in Å.
Fractional positions:
Li 0.0000 0.0000 0.0000  6 O 2.32-2.51
Ca 0.0000 0.5000 0.5000  6 O 2.39-2.45
Ca 0.5000 0.0000 0.5000  6 O 2.38-2.39
Ce 0.5000 0.5000 0.0000  6 O 2.31-2.45
O 0.2475 0.0000 0.7534  1 Li 2.32, 3 Ca 2.38-2.45, 2 Ce 2.45
O 0.2672 0.5000 0.2580  1 Ce 2.31, 3 Ca 2.39, 2 Li 2.51
O 0.7328 0.5000 0.7420  1 Ce 2.31, 3 Ca 2.39, 2 Li 2.51
O 0.7525 0.0000 0.2466  1 Li 2.32, 3 Ca 2.38-2.45, 2 Ce 2.45

Calculated values
* crystal system: monoclinic
* magnetic moment: 0.1214 μB per atom
* energy: -53.835 eV per formula unit
* N(E_F): 4.5 states/eV/f.u.

=====

Below is a relaxed structure of KTbBr4, with properties calculated at the PBE-GGA level.

a b c (Å): 10.1169 10.1169 7.2182
angles (deg): 100.56 100.56 129.70
Last column: nearest neighbours and their distance in Å.
Fractional positions:
K 0.1816 0.8184 0.7500  6 Br 3.35-3.42
K 0.8184 0.1816 0.2500  6 Br 3.35-3.42
Tb 0.4328 0.5672 0.7500  6 Br 2.75-2.91
Tb 0.5672 0.4328 0.2500  6 Br 2.75-2.91
Br 0.0991 0.4412 0.7512  1 Tb 2.75
Br 0.2512 0.3481 0.3204  2 Tb 2.85-2.91
Br 0.3481 0.2512 0.8204  2 Tb 2.85-2.91
Br 0.4412 0.0991 0.2512  1 Tb 2.75
Br 0.5588 0.9009 0.7488  1 Tb 2.75
Br 0.6519 0.7488 0.1796  2 Tb 2.85-2.91
Br 0.7488 0.6519 0.6796  2 Tb 2.85-2.91
Br 0.9009 0.5588 0.2488  1 Tb 2.75

Calculated values
* crystal system: monoclinic
* magnetic moment: 0.0000 μB per atom
* energy above the lowest structure with this stoichiometry: 0 meV/atom
* N(E_F): 0.0 states/eV/f.u.

=====

Below is a relaxed structure of Er2Zn2Co15, with properties calculated at the PBE-GGA level.

a b c (Å): 6.2821 6.2821 6.2821
angles (deg): 83.32 83.32 83.32
Last column: nearest neighbours and their distance in Å.
Fractional positions:
Er 0.1516 0.1516 0.1516  15 Co 2.89-3.15, 1 Zn 2.96
Er 0.8484 0.8484 0.8484  15 Co 2.89-3.15, 1 Zn 2.96
Zn 0.3967 0.3967 0.3967  1 Zn 2.50, 12 Co 2.53-2.73
Zn 0.6033 0.6033 0.6033  1 Zn 2.50, 12 Co 2.53-2.73
Co 0.0000 0.5000 0.5000  8 Co 2.37-2.43, 2 Zn 2.53
Co 0.1481 0.1481 0.6536  8 Co 2.42-2.55, 1 Zn 2.62
Co 0.1481 0.6536 0.1481  8 Co 2.42-2.55, 1 Zn 2.62
Co 0.2096 0.5000 0.7904  8 Co 2.37-2.55
Co 0.2096 0.7904 0.5000  8 Co 2.37-2.55
Co 0.3464 0.8519 0.8519  8 Co 2.42-2.55, 1 Zn 2.62
Co 0.5000 0.0000 0.5000  8 Co 2.37-2.43, 2 Zn 2.53
Co 0.5000 0.2096 0.7904  8 Co 2.37-2.55
Co 0.5000 0.5000 0.0000  8 Co 2.37-2.43, 2 Zn 2.53
Co 0.5000 0.7904 0.2096  8 Co 2.37-2.55
Co 0.6536 0.1481 0.1481  8 Co 2.42-2.55, 1 Zn 2.62
Co 0.7904 0.2096 0.5000  8 Co 2.37-2.55
Co 0.7904 0.5000 0.2096  8 Co 2.37-2.55
Co 0.8519 0.3464 0.8519  8 Co 2.42-2.55, 1 Zn 2.62
Co 0.8519 0.8519 0.3464  8 Co 2.42-2.55, 1 Zn 2.62

Calculated values
* crystal system: trigonal
* magnetic moment: 1.0870 μB per atom
* N(E_F): 22.1 states/eV/f.u.
* formation energy from the elements: -0.105 eV/atom

=====

Below is a relaxed structure of MgHAu2F11, with properties calculated at the PBE-GGA level.

a b c (Å): 5.4267 15.9395 10.5141
angles (deg): 90.00 90.47 90.00
Last column: nearest neighbours and their distance in Å.
Fractional positions:
Mg 0.0485 0.2351 0.1167  6 F 2.00-2.04
Mg 0.0485 0.2649 0.6167  6 F 2.00-2.04
Mg 0.9515 0.7351 0.3833  6 F 2.00-2.04
Mg 0.9515 0.7649 0.8833  6 F 2.00-2.04
H 0.0046 0.5889 0.9088  1 F 1.00
H 0.0046 0.9111 0.4088  1 F 1.00
H 0.9954 0.0889 0.5912  1 F 1.00
H 0.9954 0.4111 0.0912  1 F 1.00
Au 0.2805 0.0250 0.2417  6 F 1.92-1.99
Au 0.2805 0.4750 0.7417  6 F 1.92-1.99
Au 0.4527 0.7232 0.6326  4 F 1.96-1.97
Au 0.4527 0.7768 0.1326  4 F 1.96-1.97
Au 0.5473 0.2232 0.8674  4 F 1.96-1.97
Au 0.5473 0.2768 0.3674  4 F 1.96-1.97
Au 0.7195 0.5250 0.2583  6 F 1.92-1.99
Au 0.7195 0.9750 0.7583  6 F 1.92-1.99
F 0.0106 0.1470 0.5553  1 H 1.00
F 0.0106 0.3530 0.0553  1 H 1.00
F 0.0219 0.5058 0.8661  1 H 1.40
F 0.0219 0.9942 0.3661  1 H 1.40
F 0.0580 0.1131 0.1742  1 Au 1.98, 1 Mg 2.04
F 0.0580 0.3869 0.6742  1 Au 1.98, 1 Mg 2.04
F 0.1414 0.7420 0.7228  1 Au 1.97, 1 Mg 2.02
F 0.1414 0.7580 0.2228  1 Au 1.97, 1 Mg 2.02
F 0.1417 0.5562 0.6234  1 Au 1.94
F 0.1417 0.9438 0.1234  1 Au 1.94
F 0.2392 0.2030 0.9598  1 Au 1.97, 1 Mg 2.02
F 0.2392 0.2970 0.4598  1 Au 1.97, 1 Mg 2.02
F 0.2691 0.7090 0.4725  1 Au 1.96, 1 Mg 2.00
F 0.2691 0.7910 0.9725  1 Au 1.96, 1 Mg 2.00
F 0.3621 0.2347 0.7064  1 Au 1.97, 1 Mg 2.00
F 0.3621 0.2653 0.2064  1 Au 1.97, 1 Mg 2.00
F 0.4198 0.1054 0.3630  1 Au 1.96
F 0.4198 0.3946 0.8630  1 Au 1.96
F 0.4711 0.5557 0.3791  1 Au 1.92
F 0.4711 0.9443 0.8791  1 Au 1.92
F 0.4880 0.5630 0.8086  1 Au 1.93
F 0.4880 0.9370 0.3086  1 Au 1.93
F 0.5120 0.0630 0.6914  1 Au 1.93
F 0.5120 0.4370 0.1914  1 Au 1.93
F 0.5289 0.0557 0.1209  1 Au 1.92
F 0.5289 0.4443 0.6209  1 Au 1.92
F 0.5802 0.6054 0.1370  1 Au 1.96
F 0.5802 0.8946 0.6370  1 Au 1.96
F 0.6379 0.7347 0.7936  1 Au 1.97, 1 Mg 2.00
F 0.6379 0.7653 0.2936  1 Au 1.97, 1 Mg 2.00
F 0.7309 0.2090 0.0275  1 Au 1.96, 1 Mg 2.00
F 0.7309 0.2910 0.5275  1 Au 1.96, 1 Mg 2.00
F 0.7608 0.7030 0.5402  1 Au 1.97, 1 Mg 2.02
F 0.7608 0.7970 0.0402  1 Au 1.97, 1 Mg 2.02
F 0.8583 0.0562 0.8766  1 Au 1.94
F 0.8583 0.4438 0.3766  1 Au 1.94
F 0.8586 0.2420 0.7772  1 Au 1.97, 1 Mg 2.02
F 0.8586 0.2580 0.2772  1 Au 1.97, 1 Mg 2.02
F 0.9420 0.6131 0.3258  1 Au 1.98, 1 Mg 2.04
F 0.9420 0.8869 0.8258  1 Au 1.98, 1 Mg 2.04
F 0.9781 0.0058 0.6339  1 H 1.40
F 0.9781 0.4942 0.1339  1 H 1.40
F 0.9894 0.6470 0.9447  1 H 1.00
F 0.9894 0.8530 0.4447  1 H 1.00

Calculated values
* crystal system: monoclinic
* magnetic moment: 0.0000 μB per atom
* energy: -55.289 eV per formula unit